(1)
First-principles (PBEsol) data for crystalline ZrBe3 at its relaxed geometry, as listed in Alexandria.

Properties
Excess energy over the best structure of this formula in the dataset = 0 kJ/mol of formula units
SG = No. 59
Fermi-level density of states = 4.75 states/eV per cell

Lattice parameters (Å, degrees): 3.5880 5.0251 5.2371 90.00 90.00 90.00
With the nearest neighbours (Å) after each atom.
Element x y z (fractional)
Be (0.0000, 0.8808, 0.7846)  6 Be 2.14-2.26
Be (0.0000, 0.8808, 0.2154)  6 Be 2.14-2.26
Be (0.5000, 0.1192, 0.7154)  6 Be 2.14-2.26
Be (0.0000, 0.1856, 0.5000)  6 Be 2.14-2.15
Be (0.5000, 0.8144, 0.0000)  6 Be 2.14-2.15
Be (0.5000, 0.1192, 0.2846)  6 Be 2.14-2.26
Zr (0.5000, 0.6119, 0.5000)  12 Be 2.70-2.81
Zr (0.0000, 0.3881, 0.0000)  12 Be 2.70-2.81

=====

(2)
First-principles (PBEsol) data for crystalline Si2AsOsS at its relaxed geometry, as listed in Alexandria.

Properties
SG = No. 123
Fermi-level density of states = 1.89 states/eV per cell
Uncorrected formation energy = 2.1 eV per formula unit

Lattice parameters (Å, degrees): 4.5952 4.5952 4.6693 90.00 90.00 90.00
With the nearest neighbours (Å) after each atom.
Element x y z (fractional)
Si (0.5000, 0.0000, 0.0000)  2 Os 2.30
Si (0.0000, 0.5000, 0.0000)  2 Os 2.30
Os (0.0000, 0.0000, 0.0000)  4 Si 2.30, 2 As 2.33
S (0.5000, 0.5000, 0.5000)  4 As 3.25, 8 Si 3.28
As (0.0000, 0.0000, 0.5000)  2 Os 2.33

=====

(3)
First-principles (PBEsol) data for crystalline AlAgS3 at its relaxed geometry, as listed in Alexandria.

Properties
SG = No. 221
Fermi-level density of states = 5.14 states/eV per cell
Uncorrected formation energy = 3.3 eV per formula unit

Lattice parameters (Å, degrees): 4.7166 4.7166 4.7166 90.00 90.00 90.00
With the nearest neighbours (Å) after each atom.
Element x y z (fractional)
S (0.5000, 0.0000, 0.0000)  2 Ag 2.36
S (0.0000, 0.5000, 0.0000)  2 Ag 2.36
S (0.0000, 0.0000, 0.5000)  2 Ag 2.36
Al (0.5000, 0.5000, 0.5000)  12 S 3.34
Ag (0.0000, 0.0000, 0.0000)  6 S 2.36

=====

(4)
First-principles (PBEsol) data for crystalline MnBeAs at its relaxed geometry, as listed in Alexandria.

Properties
Excess energy over the best structure of this formula in the dataset = 111 kJ/mol of formula units
SG = No. 216
Fermi-level density of states = 2.89 states/eV per cell

Lattice parameters (Å, degrees): 3.8604 3.8604 3.8604 60.00 60.00 60.00
With the nearest neighbours (Å) after each atom.
Element x y z (fractional)
Be (0.5000, 0.5000, 0.5000)  4 Mn 2.36
Mn (0.2500, 0.2500, 0.2500)  4 As 2.36, 4 Be 2.36
As (0.0000, 0.0000, 0.0000)  4 Mn 2.36

=====

(5)
First-principles (PBEsol) data for crystalline LaSc3Be at its relaxed geometry, as listed in Alexandria.

Properties
SG = No. 221
Fermi-level density of states = 7.18 states/eV per cell
E_tot = -5.63 eV per atom

Lattice parameters (Å, degrees): 4.9437 4.9437 4.9437 90.00 90.00 90.00
With the nearest neighbours (Å) after each atom.
Element x y z (fractional)
Sc (0.0000, 0.5000, 0.0000)  2 Be 2.47
Sc (0.5000, 0.0000, 0.0000)  2 Be 2.47
Sc (0.0000, 0.0000, 0.5000)  2 Be 2.47
La (0.5000, 0.5000, 0.5000)  12 Sc 3.50
Be (0.0000, 0.0000, 0.0000)  6 Sc 2.47

=====

(6)
First-principles (PBEsol) data for crystalline FeNi at its relaxed geometry, as listed in Alexandria.

Properties
SG = No. 123
Fermi-level density of states = 1.24 states/eV per cell
E_tot = -7.60 eV per atom

Lattice parameters (Å, degrees): 2.4623 2.4623 3.5349 90.00 90.00 90.00
With the nearest neighbours (Å) after each atom.
Element x y z (fractional)
Fe (0.0000, 0.0000, 0.0000)  4 Fe 2.46, 8 Ni 2.48
Ni (0.5000, 0.5000, 0.5000)  4 Ni 2.46, 8 Fe 2.48

=====

(7)
First-principles (PBEsol) data for crystalline KAlP4 at its relaxed geometry, as listed in Alexandria.

Properties
Excess energy over the best structure of this formula in the dataset = 0 kJ/mol of formula units
SG = No. 62

Lattice parameters (Å, degrees): 3.5305 9.7447 16.1677 90.00 90.00 90.00
With the nearest neighbours (Å) after each atom.
Element x y z (fractional)
P (0.7500, 0.9050, 0.7394)  3 P 2.22-2.30
P (0.2500, 0.4685, 0.5410)  2 P 2.29, 1 Al 2.42
P (0.2500, 0.0544, 0.7240)  2 P 2.30, 1 Al 2.40
P (0.7500, 0.3080, 0.8851)  1 P 2.22, 2 Al 2.35
P (0.2500, 0.9685, 0.9590)  2 P 2.29, 1 Al 2.42
P (0.2500, 0.6920, 0.1149)  1 P 2.22, 2 Al 2.35
P (0.7500, 0.4456, 0.2240)  2 P 2.30, 1 Al 2.40
P (0.2500, 0.5544, 0.7760)  2 P 2.30, 1 Al 2.40
P (0.7500, 0.8080, 0.6149)  1 P 2.22, 2 Al 2.35
P (0.2500, 0.1920, 0.3851)  1 P 2.22, 2 Al 2.35
P (0.7500, 0.5315, 0.4590)  2 P 2.29, 1 Al 2.42
P (0.7500, 0.0315, 0.0410)  2 P 2.29, 1 Al 2.42
P (0.7500, 0.9456, 0.2760)  2 P 2.30, 1 Al 2.40
P (0.2500, 0.5950, 0.2394)  3 P 2.22-2.30
P (0.7500, 0.4050, 0.7606)  3 P 2.22-2.30
P (0.2500, 0.0950, 0.2606)  3 P 2.22-2.30
Al (0.7500, 0.8458, 0.1401)  4 P 2.35-2.42
Al (0.2500, 0.6542, 0.6401)  4 P 2.35-2.42
Al (0.2500, 0.1542, 0.8599)  4 P 2.35-2.42
Al (0.7500, 0.3458, 0.3599)  4 P 2.35-2.42
K (0.2500, 0.3176, 0.0708)  6 P 3.29-3.48, 2 K 3.53
K (0.7500, 0.1824, 0.5708)  6 P 3.29-3.48, 2 K 3.53
K (0.2500, 0.8176, 0.4292)  6 P 3.29-3.48, 2 K 3.53
K (0.7500, 0.6824, 0.9292)  6 P 3.29-3.48, 2 K 3.53

=====

(8)
First-principles (PBEsol) data for crystalline ThSi2Ru3 at its relaxed geometry, as listed in Alexandria.

Properties
SG = No. 191
Fermi-level density of states = 4.51 states/eV per cell
Uncorrected formation energy = -4.5 eV per formula unit

Lattice parameters (Å, degrees): 3.5870 5.5694 5.5694 120.00 90.00 90.00
With the nearest neighbours (Å) after each atom.
Element x y z (fractional)
Ru (0.5000, 0.5000, 0.0000)  4 Si 2.41
Ru (0.5000, 0.0000, 0.5000)  4 Si 2.41
Ru (0.5000, 0.5000, 0.5000)  4 Si 2.41
Si (0.0000, 0.6667, 0.3333)  6 Ru 2.41
Si (0.0000, 0.3333, 0.6667)  6 Ru 2.41
Th (0.0000, 0.0000, 0.0000)  6 Si 3.22, 12 Ru 3.31, 2 Th 3.59